A crystal of MgTaSe2 relaxed with PBEsol, computed with SCAN.

Lattice parameters (Å, degrees): 3.4740 3.4740 6.4407 90.00 90.00 90.00
Closest atoms and distances in Å follow each position.
Space group P4mm (No. 99)
Asymmetric unit:
Mg  0.0000  0.0000  0.0000  5 Se 2.59-2.85
Ta  0.5000  0.5000  0.7120  5 Se 2.65-2.67
Se  0.0000  0.0000  0.5583  4 Ta 2.65, 1 Mg 2.85
Se  0.5000  0.5000  0.1262  4 Mg 2.59, 1 Ta 2.67

=====

A crystal of LiYIn2 relaxed with PBEsol, computed with SCAN.

Lattice parameters (Å, degrees): 3.7588 3.7588 6.6937 90.00 90.00 90.00
Closest atoms and distances in Å follow each position.
Space group P4mm (No. 99)
Asymmetric unit:
Li  0.0000  0.0000  0.0000  5 In 2.94-2.99
Y  0.5000  0.5000  0.2933  6 In 3.18-3.47, 4 Li 3.30
In  0.0000  0.0000  0.5539  1 Li 2.99, 4 In 3.17, 4 Y 3.18
In  0.5000  0.5000  0.8124  4 Li 2.94, 4 In 3.17, 1 Y 3.22

Results
Energy relative to the elements   -1.06 eV/f.u.

=====

A crystal of BePt4Au relaxed with PBEsol, computed with SCAN.

Lattice parameters (Å, degrees): 7.3024 7.3024 7.3024 90.00 90.00 90.00
Closest atoms and distances in Å follow each position.
Space group F-43m (No. 216)
Asymmetric unit:
Be  0.0000  0.0000  0.0000  12 Pt 3.03, 4 Au 3.16
Pt  0.1251  0.1251  0.6251  6 Pt 2.58
Au  0.2500  0.2500  0.2500  12 Pt 3.03, 4 Be 3.16

Results
Energy relative to the elements   1.60 eV/f.u.

=====

A crystal of AsRuPt2 relaxed with PBEsol, computed with SCAN.

Lattice parameters (Å, degrees): 2.7967 2.7967 7.6993 90.00 90.00 90.00
Closest atoms and distances in Å follow each position.
Space group P4/mmm (No. 123)
Asymmetric unit:
As  0.0000  0.0000  0.0000  4 As 2.80, 8 Pt 2.82
Ru  0.0000  0.0000  0.5000  8 Pt 2.71, 4 Ru 2.80
Pt  0.5000  0.5000  0.2602  4 Ru 2.71, 4 Pt 2.80, 4 As 2.82

Results
Energy relative to the elements   0.46 eV/f.u.

=====

A crystal of AlCuGeRu2 relaxed with PBEsol, computed with SCAN.

Lattice parameters (Å, degrees): 4.4597 4.4597 4.4642 90.00 90.00 90.00
Closest atoms and distances in Å follow each position.
Space group P4/mmm (No. 123)
Asymmetric unit:
Al  0.0000  0.0000  0.0000  2 Ge 2.23
Cu  0.5000  0.5000  0.0000  4 Al 3.15, 8 Ru 3.16
Ge  0.0000  0.0000  0.5000  4 Ru 2.23, 2 Al 2.23
Ru  0.0000  0.5000  0.5000  2 Ge 2.23

Results
Energy relative to the elements   5.53 eV/f.u.

=====

A crystal of ZrAgPb relaxed with PBEsol, computed with SCAN.

Lattice parameters (Å, degrees): 3.1766 3.1766 7.5342 90.00 90.00 120.00
Closest atoms and distances in Å follow each position.
Space group P3m1 (No. 156)
Asymmetric unit:
Zr  0.0000  0.0000  0.0000  3 Ag 2.97, 6 Zr 3.18, 3 Pb 3.22
Ag  0.3333  0.6667  0.6904  3 Zr 2.97, 3 Pb 3.14, 6 Ag 3.18
Pb  0.6667  0.3333  0.3518  3 Ag 3.14, 6 Pb 3.18, 3 Zr 3.22

Results
Energy relative to the elements   0.17 eV/f.u.

=====

no.,calculated total energy (eV per formula unit)
1,-113.753
2,-98.062
3,-352.678
4,-194.945
5,-106.165
6,-137.678